(1)
The following is a PBE calculation of crystalline Ac8Te3PRh3 at its relaxed geometry, from Alexandria via LeMat-Bulk.

Summary:
Energy relative to the elements, uncorrected = -15.51 eV per formula unit
Symmetry = C2/m, No. 12

POSCAR file:
```
Ac8Te3PRh3
1.0
7.7264 -4.4619 0.0000
7.7264 4.4619 0.0000
-5.1441 0.0000 7.8132
Ac Te P Rh
8 3 1 3
direct
0.2295 0.7398 0.7091
0.2376 0.2376 0.7130
0.2603 0.2603 0.2908
0.2602 0.7705 0.2909
0.7398 0.2295 0.7091
0.7397 0.7397 0.7092
0.7624 0.7624 0.2870
0.7705 0.2602 0.2909
0.0000 0.5000 0.0000
0.5000 0.0000 0.0000
0.5000 0.5000 0.0000
0.5000 0.5000 0.5000
0.0000 0.0000 0.5000
0.0000 0.5000 0.5000
0.5000 0.0000 0.5000
```

(2)
The following is a PBE calculation of crystalline Re2RuRh at its relaxed geometry, from Alexandria via LeMat-Bulk.

Summary:
Symmetry = Cm, No. 8
ΔE_f = -2.7 kJ/mol of formula units
Distance to the lowest polymorph of the same formula = 0.140 eV per atom

POSCAR file:
```
Re2RuRh
1.0
4.5299 -1.3648 0.0000
4.5299 1.3648 0.0000
-0.8336 0.0000 4.6959
Re Ru Rh
2 1 1
direct
0.0000 0.0000 0.0000
0.2496 0.2496 0.7352
0.7438 0.7438 0.2247
0.5005 0.5005 0.4952
```

(3)
The following is a PBE calculation of crystalline Zr3TaF at its relaxed geometry, from Alexandria via LeMat-Bulk.

Summary:
Energy relative to the elements, uncorrected = 4.25 eV per formula unit
Symmetry = Pm-3m, No. 221
Distance to the lowest polymorph of the same formula = 1.327 eV per atom

POSCAR file:
```
Zr3TaF
1.0
5.1819 0.0000 0.0000
0.0000 5.1819 0.0000
0.0000 0.0000 5.1819
Zr Ta F
3 1 1
direct
0.0000 0.0000 0.5000
0.0000 0.5000 0.0000
0.5000 0.0000 0.0000
0.0000 0.0000 0.0000
0.5000 0.5000 0.5000
```

(4)
The following is a PBE calculation of crystalline Ac2CeY3Te6 at its relaxed geometry, from Alexandria via LeMat-Bulk.

Summary:
Energy relative to the elements, uncorrected = -16.52 eV per formula unit
Symmetry = C2/m, No. 12

POSCAR file:
```
Ac2CeY3Te6
1.0
9.9288 -2.2175 0.0000
9.9288 2.2175 0.0000
-2.4743 0.0000 8.8490
Ac Ce Y Te
2 1 3 6
direct
0.1649 0.1649 0.3313
0.8351 0.8351 0.6687
0.5000 0.5000 0.0000
0.1698 0.1698 0.8373
0.5000 0.5000 0.5000
0.8302 0.8302 0.1627
0.0074 0.0074 0.7457
0.3320 0.3320 0.9327
0.3385 0.3385 0.4013
0.6615 0.6615 0.5987
0.6680 0.6680 0.0673
0.9926 0.9926 0.2543
```

(5)
The following is a PBE calculation of crystalline MgGa2S at its relaxed geometry, from Alexandria via LeMat-Bulk.

Summary:
Energy relative to the elements, uncorrected = -0.84 eV per formula unit
Symmetry = I-42d, No. 122
Distance to the lowest polymorph of the same formula = 0.000 eV per atom

POSCAR file:
```
MgGa2S
1.0
-3.7756 3.7756 2.7912
3.7756 -3.7756 2.7912
3.7756 3.7756 -2.7912
Mg Ga S
2 4 2
direct
0.0000 0.0000 0.0000
0.7500 0.2500 0.5000
0.1503 0.1250 0.5253
0.3750 0.8497 0.9747
0.5997 0.6250 0.4747
0.8750 0.4003 0.0253
0.2500 0.7500 0.5000
0.5000 0.5000 0.0000
```

(6)
The following is a PBE calculation of crystalline Ga3Rh at its relaxed geometry, from Alexandria via LeMat-Bulk.

Summary:
Symmetry = Pmm2, No. 25
ΔE_f = -88.9 kJ/mol of formula units
Distance to the lowest polymorph of the same formula = 0.225 eV per atom

POSCAR file:
```
Ga3Rh
1.0
2.8976 0.0000 0.0000
0.0000 2.9353 0.0000
0.0000 0.0000 8.0771
Ga Rh
3 1
direct
0.0000 0.0000 0.0000
0.0000 0.5000 0.4456
0.5000 0.5000 0.7433
0.5000 0.0000 0.2584
```

Computed uncorrected energy (eV per atom) in order:
-5.684, -10.388, -7.023, -5.742, -3.155, -4.338